This record from Alexandria describes crystalline Rb3LiMo2O8 at its relaxed geometry. The functional is PBE+U.

Structure (extended XYZ):
```
14
Lattice="6.1399 0.0000 0.0000 -3.0699 5.3173 0.0000 0.0000 0.0000 7.9531" Properties=species:S:1:pos:R:3 pbc="T T T"
Rb 0.0000 0.0000 0.0000
Rb 0.0000 3.5448 5.3037
Rb 3.0699 1.7724 2.6494
Li 0.0000 0.0000 3.9765
Mo 0.0000 3.5448 1.8829
Mo 3.0699 1.7724 6.0701
O 0.0000 1.8555 2.5254
O -1.4630 4.3895 2.5254
O 0.0000 3.5448 0.0972
O 1.6069 0.9278 5.4276
O 1.4630 4.3895 2.5254
O 3.0699 1.7724 7.8559
O 4.5329 0.9278 5.4276
O 3.0699 3.4618 5.4276
```

Summary:
Crystal system = trigonal
M_tot = 0.000 μB per formula unit
E = -6.052 eV/atom
Calculated volume = 18.55 Å³ per atom